Pr4AgPd2 | PBE | relaxed

Structure (POSCAR):
```
Pr4AgPd2
1.0
-0.5770 -4.6149 -5.5863
5.1158 -2.9013 4.5228
-7.6680 -0.0251 4.2135
Pr Pd Ag
8 4 2
Cartesian
3.0807 -4.6116 3.2180 Pr
-5.1204 -3.7663 -0.5301 Pr
-2.8389 -4.2552 4.1161 Pr
-2.3319 -5.2790 -2.7925 Pr
-2.4009 -6.0524 0.8257 Pr
0.2188 -3.3672 1.1704 Pr
-5.3707 -1.8352 2.6309 Pr
1.7488 -5.6660 -1.5611 Pr
-4.5930 -2.2397 5.4472 Pd
0.6443 -6.2949 1.1623 Pd
0.0481 -3.4760 -2.4416 Pd
-2.8836 -3.1420 1.2882 Pd
-0.4396 -4.6081 -5.1432 Ag
0.1679 -3.2264 4.4397 Ag
```

Values from the calculation:
The energy of formation is -3.28 eV per formula unit. The raw total energy is -5.09 eV per atom. The calculation puts the density of states at the Fermi level at 14.06 states/eV/cell. Its density is 7.502 g/cm³. As for the symmetry: P1 (1).